# 1
# LiH2Pd4

Crystalline LiH2Pd4 at its relaxed geometry (PBE, the Alexandria database).

abc: 5.5250 5.5256 7.1239
angles: 98.31 99.21 127.32
Last column: nearest neighbours and their distance in Å.
Atoms (fractional coordinates):
Pd 0.3731 0.3137 0.4006  1 H 1.84
Pd 0.2204 0.6546 0.0993  1 H 1.84
Pd 0.8260 0.2384 0.3037  2 H 1.79-1.86
Pd 0.5561 0.1211 0.9005  1 H 1.85
Pd 0.9355 0.5232 0.6961  2 H 1.79-1.85
H 0.5160 0.2835 0.6995  3 Pd 1.80-1.85
Pd 0.7792 0.6892 0.1968  2 H 1.80-1.85
H 0.5327 0.2711 0.2025  3 Pd 1.79-1.85
Pd 0.9123 0.9728 0.5997  1 H 1.84
Pd 0.4924 0.5819 0.8037  2 H 1.80-1.86
Li 0.3535 0.8542 0.4997  2 H 2.12
Li 0.1038 0.1031 0.9999  2 H 2.10
H 0.0670 0.3291 0.7979  3 Pd 1.79-1.86
H 0.5818 0.8142 0.3000  3 Pd 1.80-1.86

Computed properties:
* energy above the most stable polymorph in this dataset: 0.0 meV per atom
* crystal system: triclinic
* size of the total moment: 0.00 μB per formula unit
* SG: P1 (1)
* VASP energy: -4.3703 eV per atom
* DOS at the Fermi energy: 2.6 states/eV/f.u.


# 2
# LiHPd

Crystalline LiHPd at its relaxed geometry (PBE, the Alexandria database).

abc: 2.8005 2.8005 3.9118
angles: 90.00 90.00 90.00
Last column: nearest neighbours and their distance in Å.
Atoms (fractional coordinates):
H 0.5000 0.5000 0.0000  2 Li 1.96, 4 Pd 1.98
Pd 0.0000 0.0000 0.0000  4 H 1.98
Li 0.5000 0.5000 0.5000  2 H 1.96

Computed properties:
* energy above the most stable polymorph in this dataset: 0.0 meV per atom
* crystal system: tetragonal
* size of the total moment: 0.00 μB per formula unit
* SG: P4/mmm (123)
* VASP energy: -3.8971 eV per atom
* DOS at the Fermi energy: 0.5 states/eV/f.u.


# 3
# Li3H4Pd

Crystalline Li3H4Pd at its relaxed geometry (PBE, the Alexandria database).

abc: 4.9360 4.8430 5.7808
angles: 90.00 90.00 108.84
Last column: nearest neighbours and their distance in Å.
Atoms (fractional coordinates):
H 0.4892 0.2590 0.3641  1 Pd 1.88, 5 Li 1.91-2.08
Pd 0.7500 0.0000 0.8499  4 H 1.78-1.88
H 0.0108 0.7410 0.3641  1 Pd 1.88, 5 Li 1.91-2.08
Li 0.7500 0.0000 0.3725  6 H 2.03-2.08
H 0.0215 0.2175 0.1199  1 Pd 1.78
H 0.5108 0.7410 0.6359  1 Pd 1.88, 5 Li 1.91-2.08
Li 0.7500 0.5000 0.6220  6 H 1.91-2.09
Li 0.7500 0.5000 0.1194  6 H 2.01-2.20
H 0.9892 0.2590 0.6359  1 Pd 1.88, 5 Li 1.91-2.08
Li 0.2500 0.5000 0.8806  6 H 2.01-2.20
H 0.4785 0.7825 0.1199  1 Pd 1.78
H 0.9785 0.7825 0.8801  1 Pd 1.78
Li 0.2500 0.0000 0.6275  6 H 2.03-2.08
H 0.5215 0.2175 0.8801  1 Pd 1.78
Pd 0.2500 0.0000 0.1501  4 H 1.78-1.88
Li 0.2500 0.5000 0.3780  6 H 1.91-2.09

Computed properties:
* energy above the most stable polymorph in this dataset: 22.0 meV per atom
* crystal system: monoclinic
* size of the total moment: 0.00 μB per formula unit
* SG: P2/c (13)
* VASP energy: -3.3905 eV per atom
* DOS at the Fermi energy: 0.9 states/eV/f.u.


# 4
# Li2HPd

Crystalline Li2HPd at its relaxed geometry (PBE, the Alexandria database).

abc: 2.7912 2.7912 6.7430
angles: 78.03 78.03 59.97
Last column: nearest neighbours and their distance in Å.
Atoms (fractional coordinates):
Pd 0.5000 0.5000 0.4998  6 Li 2.65-2.66, 6 Pd 2.79
Li 0.0596 0.0596 0.8212  3 H 2.00
Li 0.2743 0.2743 0.1773  3 H 1.98
H 0.6661 0.6661 0.0017  6 Li 1.98-2.00

Computed properties:
* energy above the most stable polymorph in this dataset: 0.0 meV per atom
* crystal system: trigonal
* size of the total moment: 0.00 μB per formula unit
* SG: R3m (160)
* VASP energy: -3.5067 eV per atom
* DOS at the Fermi energy: 0.2 states/eV/f.u.


# 5
# LiHPd3

Crystalline LiHPd3 at its relaxed geometry (PBE, the Alexandria database).

abc: 4.9036 7.4072 7.6143
angles: 90.00 90.00 90.00
Last column: nearest neighbours and their distance in Å.
Atoms (fractional coordinates):
Pd 0.7279 0.7500 0.3198  1 H 1.75
Pd 0.0459 0.5700 0.8383  1 H 1.83
H 0.4958 0.2500 0.5007  3 Pd 1.75-1.83
H 0.9958 0.2500 0.9993  3 Pd 1.75-1.83
Li 0.0000 0.0000 0.5000  6 Pd 2.60-2.66
Pd 0.5459 0.5700 0.6617  1 H 1.83
Pd 0.0459 0.9300 0.8383  1 H 1.83
Pd 0.2721 0.2500 0.6802  1 H 1.75
Pd 0.5459 0.9300 0.6617  1 H 1.83
Pd 0.2279 0.7500 0.1802  1 H 1.75
Pd 0.7721 0.2500 0.8198  1 H 1.75
Li 0.5000 0.0000 0.0000  6 Pd 2.60-2.66
Pd 0.9541 0.4300 0.1617  1 H 1.83
Li 0.0000 0.5000 0.5000  6 Pd 2.60-2.66
H 0.0042 0.7500 0.0007  3 Pd 1.75-1.83
H 0.5042 0.7500 0.4993  3 Pd 1.75-1.83
Li 0.5000 0.5000 0.0000  6 Pd 2.60-2.66
Pd 0.4541 0.4300 0.3383  1 H 1.83
Pd 0.9541 0.0700 0.1617  1 H 1.83
Pd 0.4541 0.0700 0.3383  1 H 1.83

Computed properties:
* energy above the most stable polymorph in this dataset: 203.8 meV per atom
* crystal system: orthorhombic
* size of the total moment: 0.00 μB per formula unit
* SG: Pnma (62)
* VASP energy: -4.2552 eV per atom
* DOS at the Fermi energy: 1.9 states/eV/f.u.


# 6
# LiHPd3

Crystalline LiHPd3 at its relaxed geometry (PBE, the Alexandria database).

abc: 4.8889 5.5723 4.8881
angles: 90.00 110.63 90.00
Last column: nearest neighbours and their distance in Å.
Atoms (fractional coordinates):
Pd 0.7488 0.5001 0.2490  2 H 1.97-1.99
H 0.0174 0.2500 0.4791  5 Pd 1.90-1.99
Pd 0.7441 0.7500 0.7560  1 H 1.90
Pd 0.2512 0.0001 0.7510  2 H 1.97-1.99
Li 0.7461 0.2500 0.7545  1 H 2.20
Pd 0.2512 0.4999 0.7510  2 H 1.97-1.99
H 0.9826 0.7500 0.5209  5 Pd 1.90-1.99
Li 0.2539 0.7500 0.2455  1 H 2.20
Pd 0.2559 0.2500 0.2440  1 H 1.90
Pd 0.7488 0.9999 0.2490  2 H 1.97-1.99

Computed properties:
* energy above the most stable polymorph in this dataset: 42.9 meV per atom
* crystal system: monoclinic
* size of the total moment: 0.00 μB per formula unit
* SG: P2_1/m (11)
* VASP energy: -4.4161 eV per atom
* DOS at the Fermi energy: 2.8 states/eV/f.u.


# 7
# Li4H6Pd7

Crystalline Li4H6Pd7 at its relaxed geometry (PBE, the Alexandria database).

abc: 6.8484 6.4855 6.4854
angles: 126.75 108.35 93.76
Last column: nearest neighbours and their distance in Å.
Atoms (fractional coordinates):
H 0.0000 0.6965 0.6965  3 Pd 1.76-1.85
H 0.0000 0.3035 0.3035  3 Pd 1.76-1.85
H 0.6853 0.5958 0.0895  3 Pd 1.84-1.88
H 0.3147 0.4042 0.9105  3 Pd 1.84-1.88
Pd 0.2436 0.7480 0.4956  1 H 1.80
Li 0.0000 0.0000 0.5000  4 Pd 2.41-2.68, 4 H 2.43-2.47
H 0.3127 0.9276 0.3852  3 Pd 1.80-1.87
H 0.6873 0.0724 0.6148  3 Pd 1.80-1.87
Pd 0.5000 0.2541 0.7541  4 H 1.84-1.87
Pd 0.1815 0.4945 0.6870  3 H 1.85-1.88
Pd 0.8185 0.5055 0.3130  3 H 1.85-1.88
Pd 0.0000 0.0000 0.0000  2 H 1.76
Pd 0.5000 0.7459 0.2459  4 H 1.84-1.87
Li 0.0000 0.5000 0.0000  4 Pd 2.41-2.68, 4 H 2.43-2.47
Pd 0.7564 0.2520 0.5044  1 H 1.80
Li 0.5000 0.5000 0.5000  2 Pd 2.46
Li 0.5000 0.0000 0.0000  2 Pd 2.46

Computed properties:
* crystal system: monoclinic
* size of the total moment: 0.00 μB per formula unit
* SG: C2/m (12)
* VASP energy: -3.9134 eV per atom
* DOS at the Fermi energy: 4.0 states/eV/f.u.


# 8
# LiH4Pd

Crystalline LiH4Pd at its relaxed geometry (PBE, the Alexandria database).

abc: 4.4884 4.7218 5.2968
angles: 93.32 64.93 90.00
Last column: nearest neighbours and their distance in Å.
Atoms (fractional coordinates):
Li 0.2457 0.7516 0.5085  5 H 1.99-2.19
H 0.1493 0.5128 0.2209  1 Pd 1.63
H 0.2646 0.1693 0.4707  1 Pd 1.65
H 0.7553 0.0000 0.0000  2 Pd 1.79
H 0.8507 0.4872 0.7791  1 Pd 1.63
H 0.6298 0.5128 0.2209  1 Pd 1.63
H 0.7354 0.8307 0.5293  1 Pd 1.65
Li 0.7543 0.2484 0.4915  5 H 1.99-2.19
H 0.3702 0.4872 0.7791  1 Pd 1.63
H 0.2447 0.0000 0.0000  2 Pd 1.79
Pd 0.5724 0.7389 0.8553  5 H 1.63-1.79
Pd 0.4276 0.2611 0.1447  5 H 1.63-1.79

Computed properties:
* energy above the most stable polymorph in this dataset: 88.6 meV per atom
* crystal system: monoclinic
* size of the total moment: 0.00 μB per formula unit
* SG: C2/m (12)
* VASP energy: -3.4506 eV per atom
* DOS at the Fermi energy: 0.7 states/eV/f.u.


# 9
# LiH8Pd4

Crystalline LiH8Pd4 at its relaxed geometry (PBE, the Alexandria database).

abc: 5.6615 5.6615 5.6615
angles: 60.00 60.00 60.00
Last column: nearest neighbours and their distance in Å.
Atoms (fractional coordinates):
Pd 0.3743 0.3743 0.3743  6 H 1.85-1.86
Pd 0.8771 0.3743 0.3743  6 H 1.85-1.86
H 0.1858 0.6047 0.6047  3 Pd 1.86, 1 Li 2.01
H 0.6047 0.1858 0.6047  3 Pd 1.86, 1 Li 2.01
H 0.1447 0.1447 0.1447  3 Pd 1.85
H 0.1447 0.1447 0.5660  3 Pd 1.85
Pd 0.3743 0.8771 0.3743  6 H 1.85-1.86
Li 0.7500 0.7500 0.7500  4 H 2.01
H 0.5660 0.1447 0.1447  3 Pd 1.85
H 0.6047 0.6047 0.6047  3 Pd 1.86, 1 Li 2.01
H 0.1447 0.5660 0.1447  3 Pd 1.85
Pd 0.3743 0.3743 0.8771  6 H 1.85-1.86
H 0.6047 0.6047 0.1858  3 Pd 1.86, 1 Li 2.01

Computed properties:
* crystal system: cubic
* size of the total moment: 0.00 μB per formula unit
* SG: F-43m (216)
* VASP energy: -3.9000 eV per atom
* DOS at the Fermi energy: 6.4 states/eV/f.u.


# 10
# LiH6Pd8

Crystalline LiH6Pd8 at its relaxed geometry (PBE, the Alexandria database).

abc: 2.8772 7.8882 7.8882
angles: 120.00 90.00 90.00
Last column: nearest neighbours and their distance in Å.
Atoms (fractional coordinates):
Pd 0.2036 0.6854 0.6628  3 H 1.84-1.88
Pd 0.7964 0.6628 0.9774  3 H 1.84-1.88
Pd 0.7964 0.0226 0.6854  3 H 1.84-1.88
H 0.6957 0.2904 0.8568  4 Pd 1.84-1.97
H 0.6957 0.1432 0.4336  4 Pd 1.84-1.97
Li 0.5000 0.0000 0.0000  6 Pd 2.71, 2 Li 2.88
Pd 0.7964 0.3146 0.3372  3 H 1.84-1.88
H 0.3043 0.7096 0.1432  4 Pd 1.84-1.97
Pd 0.2036 0.3372 0.0226  3 H 1.84-1.88
Pd 0.6532 0.6667 0.3333  3 H 1.97
H 0.3043 0.8568 0.5664  4 Pd 1.84-1.97
Pd 0.2036 0.9774 0.3146  3 H 1.84-1.88
H 0.6957 0.5664 0.7096  4 Pd 1.84-1.97
H 0.3043 0.4336 0.2904  4 Pd 1.84-1.97
Pd 0.3468 0.3333 0.6667  3 H 1.97

Computed properties:
* energy above the most stable polymorph in this dataset: 13.5 meV per atom
* crystal system: trigonal
* size of the total moment: 0.00 μB per formula unit
* SG: P-3 (147)
* VASP energy: -4.3823 eV per atom
* DOS at the Fermi energy: 5.6 states/eV/f.u.